! Tl5VTe5 (PBE, optimized geometry); values from VASP
! Formation energy (no corrections) = -0.171 eV/atom
! Magnetic moment = 0.981 μB per formula unit
! Symmetry = C2/m
! Total energy = -38.535 eV per cell
&SYSTEM
  ibrav = 0, nat = 11, ntyp = 3
/
ATOMIC_SPECIES
Te 127.60 Te.upf
Tl 204.38 Tl.upf
V 50.94 V.upf
CELL_PARAMETERS angstrom
6.2840 0.0000 0.0000
-3.1420 7.2774 -0.3455
0.0000 -3.1328 8.4514
ATOMIC_POSITIONS crystal
Te 0.8589 0.7178 0.6979
Te 0.1411 0.2822 0.3021
Te 0.1509 0.3018 0.8969
Te 0.5000 0.0000 0.0000
Te 0.8491 0.6982 0.1031
Tl 0.2968 0.5937 0.6949
Tl 0.0000 0.0000 0.5000
Tl 0.3644 0.7287 0.2188
Tl 0.6356 0.2713 0.7812
Tl 0.7032 0.4063 0.3051
V 0.0000 0.0000 0.0000